1.
{
  "formula": "BeCdOs2",
  "functional": "PBE-GGA",
  "state": "relaxed",
  "polymorph_energy_ev_per_fu": 1.56,
  "m_tot_mub_per_atom": 0.0006,
  "n_ef_per_ev_cell": 4.1,
  "density_g_cm3": 14.1,
  "lattice_angstrom": [[2.736, 0.004, 0.000], [-1.267, 2.425, 0.000], [0.000, 0.000, 8.886]],
  "species": ["Be", "Os", "Os", "Cd"],
  "frac_coords": [[0.000, 0.000, 0.478], [0.000, 0.000, 0.019], [0.500, 0.500, 0.272], [0.500, 0.500, 0.732]]
}

***

2.
{
  "formula": "BeCd2Os",
  "functional": "PBE-GGA",
  "state": "relaxed",
  "final_energy_ev_per_atom": -3.602,
  "m_tot_mub_per_atom": 0.0000,
  "n_ef_per_ev_cell": 1.6,
  "density_g_cm3": 11.0,
  "lattice_angstrom": [[4.445, 0.000, 0.000], [0.000, 2.779, -0.002], [0.000, 1.431, 5.164]],
  "species": ["Be", "Os", "Cd", "Cd"],
  "frac_coords": [[0.500, 0.750, 0.750], [0.500, 0.250, 0.250], [0.000, 0.890, 0.989], [0.000, 0.610, 0.511]]
}

***

3.
{
  "formula": "BeCdOs2",
  "functional": "PBE-GGA",
  "state": "relaxed",
  "polymorph_energy_ev_per_fu": 1.12,
  "m_tot_mub_per_atom": 0.0001,
  "n_ef_per_ev_cell": 3.2,
  "density_g_cm3": 14.5,
  "lattice_angstrom": [[-1.415, 0.976, 2.107], [-1.409, -0.425, -2.286], [-1.734, -8.068, 2.570]],
  "species": ["Be", "Os", "Os", "Cd"],
  "frac_coords": [[0.500, 0.500, 0.250], [0.000, 0.000, 0.039], [0.000, 0.000, 0.461], [0.500, 0.500, 0.750]]
}

***

4.
{
  "formula": "Be3CdOs",
  "functional": "PBE-GGA",
  "state": "relaxed",
  "polymorph_energy_ev_per_fu": 5.30,
  "m_tot_mub_per_atom": 0.1316,
  "n_ef_per_ev_cell": 6.1,
  "density_g_cm3": 7.4,
  "lattice_angstrom": [[-2.260, 0.742, -3.453], [0.259, -4.053, -1.040], [-3.522, -0.774, 2.139]],
  "species": ["Be", "Be", "Be", "Os", "Cd"],
  "frac_coords": [[0.000, 0.500, 0.000], [0.000, 0.000, 0.500], [0.500, 0.000, 0.000], [0.500, 0.500, 0.500], [0.000, 0.000, 0.000]]
}

***

5.
{
  "formula": "BeCdOs2",
  "functional": "PBE-GGA",
  "state": "relaxed",
  "polymorph_energy_ev_per_fu": 1.78,
  "m_tot_mub_per_atom": 0.0000,
  "n_ef_per_ev_cell": 3.6,
  "density_g_cm3": 14.4,
  "lattice_angstrom": [[-0.496, 4.264, -0.677], [-3.414, 1.459, -2.258], [-3.177, 2.167, 2.023]],
  "species": ["Be", "Os", "Os", "Cd"],
  "frac_coords": [[0.500, 0.500, 0.500], [0.000, 0.000, 0.000], [0.250, 0.250, 0.250], [0.750, 0.750, 0.750]]
}

***

6.
{
  "formula": "BeCdOs2",
  "functional": "PBE-GGA",
  "state": "relaxed",
  "polymorph_energy_ev_per_fu": 0.00,
  "m_tot_mub_per_atom": 0.0000,
  "n_ef_per_ev_cell": 1.0,
  "density_g_cm3": 14.7,
  "lattice_angstrom": [[-2.553, 1.057, 0.810], [-1.326, -1.868, -1.742], [-1.598, -6.421, 3.343]],
  "species": ["Be", "Os", "Os", "Cd"],
  "frac_coords": [[0.000, 0.538, 0.461], [0.000, 0.967, 0.033], [0.500, 0.220, 0.280], [0.500, 0.774, 0.726]]
}

***

7.
{
  "formula": "BeCdOs2",
  "functional": "PBE-GGA",
  "state": "relaxed",
  "polymorph_energy_ev_per_fu": 0.74,
  "m_tot_mub_per_atom": 0.0000,
  "n_ef_per_ev_cell": 3.6,
  "density_g_cm3": 14.0,
  "lattice_angstrom": [[-0.143, 4.243, 7.962], [-0.304, 1.621, 8.871], [2.175, 2.750, 8.314]],
  "species": ["Be", "Os", "Os", "Cd"],
  "frac_coords": [[0.510, 0.510, 0.510], [0.991, 0.991, 0.991], [0.246, 0.246, 0.246], [0.753, 0.753, 0.753]]
}

***

8.
{
  "formula": "BeCdOs2",
  "functional": "PBE-GGA",
  "state": "relaxed",
  "polymorph_energy_ev_per_fu": 2.34,
  "m_tot_mub_per_atom": 0.0000,
  "n_ef_per_ev_cell": 3.8,
  "density_g_cm3": 14.1,
  "lattice_angstrom": [[-4.164, -0.055, -0.084], [0.085, -0.800, -3.675], [0.032, -3.675, 0.801]],
  "species": ["Be", "Os", "Os", "Cd"],
  "frac_coords": [[0.500, 0.500, 0.000], [0.000, 0.000, 0.000], [0.000, 0.500, 0.500], [0.500, 0.000, 0.500]]
}

***

9.
{
  "formula": "BeCd2Os",
  "functional": "PBE-GGA",
  "state": "relaxed",
  "final_energy_ev_per_atom": -3.817,
  "m_tot_mub_per_atom": 0.0001,
  "n_ef_per_ev_cell": 2.2,
  "density_g_cm3": 10.7,
  "lattice_angstrom": [[-2.626, -0.070, 1.019], [0.421, -1.472, -2.365], [2.137, -7.421, 4.999]],
  "species": ["Be", "Os", "Cd", "Cd"],
  "frac_coords": [[0.500, 0.500, 0.721], [0.000, 0.000, 0.544], [0.000, 0.000, 0.962], [0.500, 0.500, 0.273]]
}

***

10.
{
  "formula": "Be2CdOs2",
  "functional": "PBE-GGA",
  "state": "relaxed",
  "polymorph_energy_ev_per_fu": 1.49,
  "m_tot_mub_per_atom": 0.0000,
  "n_ef_per_ev_cell": 2.3,
  "density_g_cm3": 11.8,
  "lattice_angstrom": [[-4.010, 1.162, 0.224], [-1.172, -4.009, -0.185], [-2.430, -1.661, 4.136]],
  "species": ["Be", "Be", "Os", "Os", "Cd"],
  "frac_coords": [[0.750, 0.250, 0.500], [0.250, 0.750, 0.500], [0.356, 0.356, 0.288], [0.644, 0.644, 0.712], [0.000, 0.000, 0.000]]
}

***

11.
{
  "formula": "BeCd2Os",
  "functional": "PBE-GGA",
  "state": "relaxed",
  "final_energy_ev_per_atom": -3.801,
  "m_tot_mub_per_atom": 0.0000,
  "n_ef_per_ev_cell": 2.4,
  "density_g_cm3": 10.9,
  "lattice_angstrom": [[5.395, 0.016, 0.016], [4.515, 2.952, 0.016], [1.895, 0.568, 4.091]],
  "species": ["Be", "Os", "Cd", "Cd"],
  "frac_coords": [[0.216, 0.216, 0.285], [0.542, 0.542, 0.458], [0.977, 0.977, 0.022], [0.765, 0.765, 0.735]]
}

***

12.
{
  "formula": "BeCdOs2",
  "functional": "PBE-GGA",
  "state": "relaxed",
  "polymorph_energy_ev_per_fu": 2.73,
  "m_tot_mub_per_atom": 0.0000,
  "n_ef_per_ev_cell": 4.9,
  "density_g_cm3": 14.6,
  "lattice_angstrom": [[-3.988, -0.025, 1.671], [-2.678, 3.311, -0.748], [-3.424, -0.531, -2.586]],
  "species": ["Be", "Os", "Os", "Cd"],
  "frac_coords": [[0.000, 0.000, 0.000], [0.250, 0.250, 0.250], [0.750, 0.750, 0.750], [0.500, 0.500, 0.500]]
}